(1)
Material: Ba2LaAu
Method: DFT, PBE-GGA
State: optimized geometry

Its calculated total energy is -3.05 eV per atom. The density of states at the Fermi level is 4.80 states/eV/cell. Its formation energy is -0.04 eV/atom. Its offset from the most stable computed form is 0.2868 eV/atom.

The space group is P4/mmm (No. 123) and the conventional cell measures 6.0492, 6.0492 and 4.1736 Å, with angles of 90.00, 90.00 and 90.00 degrees. The asymmetric unit holds Ba at (0.0000, 0.5000, 0.0000), La at (0.0000, 0.0000, 0.5000) and Au at (0.5000, 0.5000, 0.5000).



(2)
Material: NaMg3Hg4
Method: DFT, PBE-GGA
State: optimized geometry

Its calculated total energy is -1.13 eV per atom. The density of states at the Fermi level is 4.98 states/eV/cell. Its formation energy is -0.22 eV/atom.

The space group is Pmma (No. 51) and the conventional cell measures 10.2729, 6.7667 and 5.1114 Å, with angles of 90.00, 90.00 and 90.00 degrees. The asymmetric unit holds Na at (0.0000, 0.0000, 0.0000), Mg at (0.0000, 0.5000, 0.0000), Mg at (0.2500, 0.0000, 0.4929), Mg at (0.2500, 0.5000, 0.4917), Hg at (0.0000, 0.2556, 0.5000) and Hg at (0.2500, 0.2575, 0.9925).



(3)
Material: HgBi2BrN
Method: DFT, PBE-GGA
State: optimized geometry

Its calculated total energy is -2.39 eV per atom. As for the formation energy without anion corrections: 1218 meV per atom. The density of states at the Fermi level is 3.59 states/eV/cell.

The space group is P4/mmm (No. 123) and the conventional cell measures 5.9927, 5.9927 and 3.7229 Å, with angles of 90.00, 90.00 and 90.00 degrees. The asymmetric unit holds Hg at (0.0000, 0.0000, 0.0000), Bi at (0.0000, 0.5000, 0.5000), Br at (0.5000, 0.5000, 0.5000) and N at (0.5000, 0.5000, 0.0000).



(4)
Material: Nd2ErZn4
Method: DFT, PBE-GGA
State: optimized geometry

Its calculated total energy is -2.89 eV per atom. The density of states at the Fermi level is 10.82 states/eV/cell. Its formation energy is -0.15 eV/atom.

The space group is I4/mmm (No. 139) and the conventional cell measures 5.2040, 5.2040 and 12.8008 Å, with angles of 90.00, 90.00 and 90.00 degrees. The asymmetric unit holds Nd at (0.0000, 0.0000, 0.2223), Er at (0.0000, 0.0000, 0.5000) and Zn at (0.0000, 0.5000, 0.1041).



(5)
Material: Nd3Ho5Cd2
Method: DFT, PBE-GGA
State: optimized geometry

Its calculated total energy is -3.77 eV per atom. The density of states at the Fermi level is 50.97 states/eV/cell. Its formation energy is 0.13 eV/atom.

The space group is Ibam (No. 72) and the conventional cell measures 13.3398, 14.6115 and 6.6510 Å, with angles of 90.00, 90.00 and 90.00 degrees. The asymmetric unit holds Nd at (0.0000, 0.0000, 0.2500), Nd at (0.1413, 0.2265, 0.0000), Ho at (0.0000, 0.5000, 0.2500), Ho at (0.0977, 0.3288, 0.5000), Ho at (0.2385, 0.5000, 0.2500) and Cd at (0.1377, 0.1368, 0.5000).



(6)
Material: Ta2MnAg
Method: DFT, PBE-GGA
State: optimized geometry

Its calculated total energy is -8.59 eV per atom. The density of states at the Fermi level is 11.67 states/eV/cell. Its formation energy is 0.34 eV/atom. Its offset from the most stable computed form is 0.1909 eV/atom.

The space group is R-3m (No. 166, hexagonal axes) and the conventional cell measures 2.8712, 2.8712 and 28.7979 Å, with angles of 90.00, 90.00 and 120.00 degrees. The asymmetric unit holds Ta at (0.0000, 0.0000, 0.2457), Mn at (0.0000, 0.0000, 0.5000) and Ag at (0.0000, 0.0000, 0.0000).



(7)
Material: LaNiMo2
Method: DFT, PBE-GGA
State: optimized geometry

Its calculated total energy is -7.60 eV per atom. The density of states at the Fermi level is 5.76 states/eV/cell. Its formation energy is 0.49 eV/atom. Its offset from the most stable computed form is 0.2756 eV/atom.

The space group is Pmmm (No. 47) and the conventional cell measures 3.2664, 4.4327 and 5.0505 Å, with angles of 90.00, 90.00 and 90.00 degrees. The asymmetric unit holds La at (0.0000, 0.0000, 0.0000), Ni at (0.5000, 0.5000, 0.0000), Mo at (0.0000, 0.5000, 0.5000) and Mo at (0.5000, 0.0000, 0.5000).



(8)
Material: HfTh6Sn10
Method: DFT, PBE-GGA
State: optimized geometry

Its calculated total energy is -6.03 eV per atom. The density of states at the Fermi level is 12.03 states/eV/cell. Its formation energy is -0.47 eV/atom.

The space group is P-31m (No. 162) and the conventional cell measures 9.4529, 9.4529 and 6.2404 Å, with angles of 90.00, 90.00 and 120.00 degrees. The asymmetric unit holds Hf at (0.0000, 0.0000, 0.0000), Th at (0.0000, 0.3879, 0.7547), Sn at (0.0000, 0.2474, 0.2778), Sn at (0.3333, 0.6667, 0.0000) and Sn at (0.3333, 0.6667, 0.5000).



(9)
Material: Tb2Nd6Tm
Method: DFT, PBE-GGA
State: optimized geometry

Its calculated total energy is -4.58 eV per atom. The density of states at the Fermi level is 23.89 states/eV/cell. Its formation energy is 0.13 eV/atom. Its offset from the most stable computed form is 0.0467 eV/atom.

The space group is Cmmm (No. 65) and the conventional cell measures 9.4444, 17.7601 and 3.6648 Å, with angles of 90.00, 90.00 and 90.00 degrees. The asymmetric unit holds Tb at (0.0000, 0.1752, 0.0000), Nd at (0.1751, 0.3348, 0.5000), Nd at (0.1854, 0.5000, 0.0000) and Tm at (0.0000, 0.0000, 0.5000).



(10)
Material: Ag3HgS2
Method: DFT, PBE-GGA
State: optimized geometry

Its calculated total energy is -2.77 eV per atom. As for the formation energy without anion corrections: 79 meV per atom. The density of states at the Fermi level is 8.17 states/eV/cell. Its offset from the most stable computed form is 0.0316 eV/atom.

The space group is Ibam (No. 72) and the conventional cell measures 6.6156, 12.8849 and 5.9515 Å, with angles of 90.00, 90.00 and 90.00 degrees. The asymmetric unit holds Ag at (0.0000, 0.0000, 0.2500), Ag at (0.0000, 0.2998, 0.2500), Hg at (0.0000, 0.5000, 0.0000) and S at (0.1762, 0.1515, 0.0000).



(11)
Material: HoTm6In6
Method: DFT, PBE-GGA
State: optimized geometry

Its calculated total energy is -3.97 eV per atom. The density of states at the Fermi level is 12.96 states/eV/cell. Its formation energy is -0.29 eV/atom.

The space group is P6/mmm (No. 191) and the conventional cell measures 6.1978, 6.1978 and 10.6136 Å, with angles of 90.00, 90.00 and 120.00 degrees. The asymmetric unit holds Ho at (0.0000, 0.0000, 0.0000), Tm at (0.0000, 0.0000, 0.3409), Tm at (0.3333, 0.6667, 0.0000), Tm at (0.3333, 0.6667, 0.5000) and In at (0.0000, 0.5000, 0.2457).



(12)
Material: Sr2NiH2
Method: DFT, PBE-GGA
State: optimized geometry

Its calculated total energy is -3.44 eV per atom. The density of states at the Fermi level is 3.56 states/eV/cell. Its offset from the most stable computed form is 0.0000 eV/atom.

The space group is I4/mmm (No. 139) and the conventional cell measures 5.2263, 5.2263 and 7.6703 Å, with angles of 90.00, 90.00 and 90.00 degrees. The asymmetric unit holds Sr at (0.0000, 0.5000, 0.2500), Ni at (0.0000, 0.0000, 0.0000) and H at (0.0000, 0.0000, 0.2028).